Here is crystalline AgAuF3 at its relaxed geometry from Alexandria. Energies are from PBE.

abc: 4.413 4.413 4.413
angles: 90.00 90.00 90.00
Space group Pm-3m (No. 221)
Asymmetric unit:
Ag1 0.000 0.000 0.000 (multiplicity 1)
Au1 0.500 0.500 0.500 (multiplicity 1)
F1 0.000 0.500 0.500 (multiplicity 3)

Output
Uncorrected energy = -15.498 eV/cell
D(E_F) = 1.5 states/eV/f.u.
ΔE_f (raw) = -0.751 eV per atom
Magnetization = 0.0 μB per cell